(1)
BaTiO3 | PBE | relaxed

POSCAR file:
```
BaTiO3
1.0
7.799 0.000 0.000
0.000 7.194 0.000
-3.106 0.000 6.233
Ba Ti O
4 4 12
Direct
0.121 0.250 0.060
0.121 0.250 0.560
0.879 0.750 0.440
0.879 0.750 0.940
0.328 0.633 0.414
0.328 0.867 0.914
0.672 0.133 0.086
0.672 0.367 0.586
0.068 0.554 0.285
0.068 0.946 0.785
0.306 0.750 0.153
0.306 0.750 0.653
0.386 0.129 0.942
0.386 0.371 0.442
0.614 0.629 0.558
0.614 0.871 0.058
0.694 0.250 0.347
0.694 0.250 0.847
0.932 0.054 0.215
0.932 0.446 0.715
```

=====

(2)
BaTi4O8 | PBE | relaxed

POSCAR file:
```
BaTi4O8
1.0
5.763 0.000 0.000
-2.882 4.991 0.000
0.000 0.000 8.431
Ba Ti O
1 4 8
Direct
0.000 0.000 0.000
0.333 0.667 0.221
0.333 0.667 0.779
0.667 0.333 0.221
0.667 0.333 0.779
0.000 0.365 0.261
0.000 0.635 0.739
0.333 0.667 0.000
0.365 0.000 0.261
0.365 0.365 0.739
0.635 0.000 0.739
0.635 0.635 0.261
0.667 0.333 0.000
```

=====

(3)
BaTiO3 | PBE | relaxed

POSCAR file:
```
BaTiO3
1.0
2.915 -7.090 0.000
2.915 7.090 0.000
0.000 0.000 5.227
Ba Ti O
2 2 6
Direct
0.174 0.826 0.750
0.826 0.174 0.250
0.410 0.590 0.750
0.590 0.410 0.250
0.090 0.428 0.750
0.428 0.090 0.250
0.500 0.500 0.000
0.500 0.500 0.500
0.572 0.910 0.750
0.910 0.572 0.250
```

=====

(4)
BaTi4O9 | PBE | relaxed

POSCAR file:
```
BaTi4O9
1.0
3.819 0.000 0.000
0.000 14.712 0.000
0.000 0.000 6.395
Ba Ti O
2 8 18
Direct
0.250 0.250 0.215
0.750 0.750 0.785
0.250 0.538 0.695
0.250 0.628 0.248
0.250 0.872 0.248
0.250 0.962 0.695
0.750 0.038 0.305
0.750 0.128 0.752
0.750 0.372 0.752
0.750 0.462 0.305
0.250 0.011 0.347
0.250 0.099 0.760
0.250 0.401 0.760
0.250 0.489 0.347
0.250 0.596 0.937
0.250 0.651 0.542
0.250 0.750 0.163
0.250 0.849 0.542
0.250 0.904 0.937
0.750 0.096 0.063
0.750 0.151 0.458
0.750 0.250 0.837
0.750 0.349 0.458
0.750 0.404 0.063
0.750 0.511 0.653
0.750 0.599 0.240
0.750 0.901 0.240
0.750 0.989 0.653
```

=====

(5)
Ba3Ti2O6 | PBE | relaxed

POSCAR file:
```
Ba3Ti2O6
1.0
-2.014 2.014 10.978
2.014 -2.014 10.978
2.014 2.014 -10.978
Ba Ti O
3 2 6
Direct
0.000 0.000 0.000
0.182 0.182 0.000
0.818 0.818 0.000
0.399 0.399 0.000
0.601 0.601 0.000
0.093 0.593 0.500
0.311 0.311 0.000
0.407 0.907 0.500
0.593 0.093 0.500
0.689 0.689 0.000
0.907 0.407 0.500
```

=====

(6)
BaTiO3 | PBE | relaxed

POSCAR file:
```
BaTiO3
1.0
3.803 0.000 0.000
0.000 9.135 0.000
0.000 0.000 6.549
Ba Ti O
2 2 6
Direct
0.000 0.000 0.000
0.000 0.500 0.500
0.500 0.000 0.459
0.500 0.500 0.959
0.500 0.000 0.738
0.500 0.151 0.296
0.500 0.349 0.796
0.500 0.500 0.238
0.500 0.651 0.796
0.500 0.849 0.296
```

=====

Q: Which formation energy from raw total energies values were calculated for the entries above? A: -2.941 -2.815 -2.911 -3.064 -2.793 -2.358, in eV/atom.
Q: Which final energy values were calculated for the entries above? A: -7.88 -8.44 -7.85 -8.64 -7.46 -7.30, in eV per atom.